Below is Y2CrCu after structural relaxation, with properties calculated at the PBE level.

Cell lengths 4.676, 4.676, 6.443 Å; angles 79.23, 79.23, 42.88 degrees
Site moments in Bohr magnetons follow the coordinates.
Positions (direct):
1 Cu 0.250 0.250 0.250  0.00
2 Y 0.992 0.992 0.007  -0.10
3 Y 0.508 0.508 0.493  -0.10
4 Cr 0.750 0.750 0.750  3.41

Output
Total moment = 3.26 μB/cell
DFT total energy = -25.10 eV per cell
DOS at the Fermi energy = 0.925 states/eV/atom
Symmetry = C2/m (12)
E_form = 386 meV/atom

Below is AlTl2Cr after structural relaxation, with properties calculated at the PBE level.

Cell lengths 5.355, 5.355, 5.355 Å; angles 129.27, 129.27, 74.58 degrees
Site moments in Bohr magnetons follow the coordinates.
Positions (direct):
1 Cr 0.750 0.250 0.500  3.80
2 Al 0.250 0.750 0.500  -0.03
3 Tl 0.000 0.000 0.000  -0.02
4 Tl 0.500 0.500 0.000  -0.02

Output
Total moment = 4.04 μB/cell
DFT total energy = -16.08 eV per cell
DOS at the Fermi energy = 0.543 states/eV/atom
Symmetry = I4/mmm (139)
E_form = 504 meV/atom

Below is B2RuF after structural relaxation, with properties calculated at the PBE level.

Cell lengths 4.677, 4.677, 5.651 Å; angles 65.56, 65.56, 90.00 degrees
Positions (direct):
1 F 0.500 0.500 0.000
2 F 0.250 0.750 0.500
3 Ru 0.000 0.000 0.000
4 Ru 0.750 0.250 0.500
5 B 0.875 0.889 0.750
6 B 0.375 0.361 0.750
7 B 0.639 0.125 0.250
8 B 0.111 0.625 0.250

Output
Total moment = 0.00 μB/cell
E_form (uncorrected) = 0.406 eV per atom
DFT total energy = -45.76 eV per cell
DOS at the Fermi energy = 0.322 states/eV/atom
Symmetry = I-42d (122)

Below is In12Ga3Pb5 after structural relaxation, with properties calculated at the PBE level.

Cell lengths 15.012, 15.012, 15.012 Å; angles 109.47, 109.47, 109.47 degrees
Positions (direct):
1 In 0.609 0.867 0.440
2 In 0.367 0.927 0.758
3 In 0.742 0.133 0.073
4 In 0.169 0.060 0.927
5 In 0.940 0.109 0.867
6 In 0.742 0.609 0.169
7 In 0.133 0.391 0.060
8 In 0.560 0.927 0.669
9 In 0.573 0.242 0.133
10 In 0.427 0.669 0.060
11 In 0.073 0.440 0.831
12 In 0.758 0.427 0.367
13 In 0.258 0.391 0.831
14 In 0.927 0.560 0.169
15 In 0.927 0.367 0.258
16 In 0.109 0.169 0.242
17 In 0.758 0.331 0.891
18 In 0.573 0.331 0.940
19 In 0.331 0.573 0.440
20 In 0.060 0.891 0.133
21 In 0.891 0.831 0.758
22 In 0.669 0.242 0.609
23 In 0.831 0.891 0.258
24 In 0.169 0.109 0.742
25 In 0.609 0.742 0.669
26 In 0.242 0.669 0.109
27 In 0.060 0.169 0.427
28 In 0.427 0.758 0.867
29 In 0.331 0.758 0.391
30 In 0.633 0.073 0.242
31 In 0.867 0.258 0.427
32 In 0.891 0.060 0.633
33 In 0.440 0.367 0.609
34 In 0.560 0.633 0.391
35 In 0.391 0.133 0.560
36 In 0.367 0.440 0.109
37 In 0.831 0.940 0.073
38 In 0.133 0.742 0.573
39 In 0.242 0.573 0.633
40 In 0.073 0.633 0.742
41 In 0.440 0.073 0.331
42 In 0.633 0.560 0.891
43 In 0.391 0.258 0.331
44 In 0.258 0.867 0.927
45 In 0.669 0.427 0.560
46 In 0.940 0.831 0.573
47 In 0.109 0.940 0.367
48 In 0.867 0.609 0.940
49 Pb 0.375 0.250 0.125
50 Pb 0.875 0.625 0.750
51 Pb 0.125 0.375 0.250
52 Pb 0.750 0.125 0.875
53 Pb 0.500 0.500 0.500
54 Pb 0.250 0.875 0.125
55 Pb 0.500 0.000 0.500
56 Pb 0.375 0.125 0.750
57 Pb 0.625 0.750 0.875
58 Pb 0.000 0.000 0.000
59 Pb 0.625 0.875 0.250
60 Pb 0.750 0.625 0.375
61 Pb 0.875 0.250 0.625
62 Pb 0.500 0.000 0.000
63 Pb 0.000 0.500 0.500
64 Pb 0.000 0.500 0.000
65 Pb 0.250 0.375 0.625
66 Pb 0.125 0.750 0.375
67 Pb 0.000 0.000 0.500
68 Pb 0.500 0.500 0.000
69 Ga 0.625 0.250 0.375
70 Ga 0.125 0.250 0.875
71 Ga 0.750 0.875 0.625
72 Ga 0.250 0.125 0.375
73 Ga 0.125 0.875 0.750
74 Ga 0.375 0.750 0.625
75 Ga 0.250 0.625 0.875
76 Ga 0.875 0.750 0.125
77 Ga 0.875 0.125 0.250
78 Ga 0.625 0.375 0.750
79 Ga 0.750 0.375 0.125
80 Ga 0.375 0.625 0.250

Output
Total moment = 0.00 μB/cell
DFT total energy = -227.25 eV per cell
DOS at the Fermi energy = 0.488 states/eV/atom
Symmetry = Ia-3d (230)
E_form = 184 meV/atom

Below is La3TaHg after structural relaxation, with properties calculated at the PBE level.

Cell lengths 5.636, 5.636, 5.636 Å; angles 90.00, 90.00, 90.00 degrees
Positions (direct):
1 Ta 0.000 0.000 0.000
2 La 0.500 0.000 0.000
3 La 0.000 0.000 0.500
4 La 0.000 0.500 0.000
5 Hg 0.500 0.500 0.500

Output
Total moment = 0.00 μB/cell
DFT total energy = -25.07 eV per cell
DOS at the Fermi energy = 0.839 states/eV/atom
Symmetry = Pm-3m (221)
E_form = 374 meV/atom

Below is Cs3Np2InTe6 after structural relaxation, with properties calculated at the PBE level.

Cell lengths 8.118, 8.118, 9.146 Å; angles 98.44, 98.44, 119.92 degrees
Site moments in Bohr magnetons follow the coordinates.
Positions (direct):
1 Te 0.711 0.711 0.184  -0.10
2 Te 0.937 0.585 0.812  -0.10
3 Te 0.415 0.063 0.188  -0.10
4 Te 0.585 0.937 0.812  -0.10
5 Te 0.289 0.289 0.816  -0.10
6 Te 0.063 0.415 0.188  -0.10
7 Cs 0.159 0.841 0.500  -0.01
8 Cs 0.500 0.500 0.500  -0.01
9 Cs 0.841 0.159 0.500  -0.01
10 Np 0.332 0.668 0.000  3.69
11 Np 0.668 0.332 0.000  3.69
12 In 0.000 0.000 0.000  -0.02

Output
Total moment = 6.54 μB/cell
E_form (uncorrected) = -0.789 eV per atom
DFT total energy = -59.50 eV per cell
DOS at the Fermi energy = 1.545 states/eV/atom
Symmetry = C2/m (12)

Below is MgNbGeO6 after structural relaxation, with properties calculated at the PBE level.

Cell lengths 4.702, 4.702, 9.125 Å; angles 90.00, 90.00, 90.00 degrees
Site moments in Bohr magnetons follow the coordinates.
Positions (direct):
1 O 0.196 0.804 0.181  0.11
2 O 0.788 0.212 0.822  0.10
3 O 0.187 0.813 0.493  0.07
4 O 0.813 0.187 0.493  0.07
5 O 0.804 0.196 0.181  0.11
6 O 0.696 0.696 0.681  0.11
7 O 0.212 0.788 0.822  0.10
8 O 0.313 0.313 0.993  0.07
9 O 0.304 0.304 0.681  0.11
10 O 0.712 0.712 0.322  0.10
11 O 0.687 0.687 0.993  0.07
12 O 0.288 0.288 0.322  0.10
13 Mg 0.000 0.000 0.003  0.00
14 Mg 0.500 0.500 0.503  0.00
15 Nb 0.000 0.000 0.670  -0.04
16 Nb 0.500 0.500 0.170  -0.04
17 Ge 0.500 0.500 0.834  -0.01
18 Ge 0.000 0.000 0.334  -0.01

Output
Total moment = 1.18 μB/cell
E_form (uncorrected) = -2.027 eV per atom
DFT total energy = -128.55 eV per cell
DOS at the Fermi energy = 0.589 states/eV/atom
Symmetry = P4_2nm (102)

Below is Ac8La3Pm3 after structural relaxation, with properties calculated at the PBE level.

Cell lengths 6.415, 10.650, 10.650 Å; angles 80.96, 64.56, 64.56 degrees
Positions (direct):
1 La 0.891 0.229 0.229
2 La 0.109 0.771 0.771
3 La 0.500 0.500 0.500
4 Pm 0.000 0.135 0.865
5 Pm 0.000 0.865 0.135
6 Pm 0.500 0.000 0.000
7 Ac 0.763 0.780 0.520
8 Ac 0.237 0.480 0.220
9 Ac 0.237 0.220 0.480
10 Ac 0.703 0.629 0.111
11 Ac 0.763 0.520 0.780
12 Ac 0.702 0.111 0.629
13 Ac 0.297 0.371 0.889
14 Ac 0.298 0.889 0.371

Output
Total moment = 0.00 μB/cell
DFT total energy = -59.27 eV per cell
DOS at the Fermi energy = 1.487 states/eV/atom
Symmetry = C2/m (12)
E_form = 188 meV/atom

Copy entry 8 word for word.
Below is Ac8La3Pm3 after structural relaxation, with properties calculated at the PBE level.

Cell lengths 6.415, 10.650, 10.650 Å; angles 80.96, 64.56, 64.56 degrees
Positions (direct):
1 La 0.891 0.229 0.229
2 La 0.109 0.771 0.771
3 La 0.500 0.500 0.500
4 Pm 0.000 0.135 0.865
5 Pm 0.000 0.865 0.135
6 Pm 0.500 0.000 0.000
7 Ac 0.763 0.780 0.520
8 Ac 0.237 0.480 0.220
9 Ac 0.237 0.220 0.480
10 Ac 0.703 0.629 0.111
11 Ac 0.763 0.520 0.780
12 Ac 0.702 0.111 0.629
13 Ac 0.297 0.371 0.889
14 Ac 0.298 0.889 0.371

Output
Total moment = 0.00 μB/cell
DFT total energy = -59.27 eV per cell
DOS at the Fermi energy = 1.487 states/eV/atom
Symmetry = C2/m (12)
E_form = 188 meV/atom